Record 1
This record from Alexandria describes crystalline H4S3F2 at its relaxed geometry. The functional is PBE.

Computed properties:
**Calculated total energy**: -3.62 eV per atom
**Calculated volume**: 17.88 A^3/atom
**Total moment**: 3.95 μB per cell

Cell: 4.9158 7.4500 8.9863 Å, 97.38 93.25 98.44°
With the nearest neighbours (Å) after each atom.
Space group P-1 (No. 2)
Inequivalent atoms, fractional coordinates:
H  0.0507  0.4441  0.2247 x2  1 S 1.39
H  0.1457  0.8777  0.4763 x2  1 S 1.38
H  0.1919  0.8878  0.8162 x2  1 S 1.36
H  0.4201  0.7362  0.9107 x2  1 S 1.35
S  0.0001  0.2214  0.6518 x2  1 H 1.38
S  0.1741  0.7904  0.9346 x2  2 H 1.35-1.36
S  0.2278  0.5524  0.3392 x2  1 H 1.39
F  0.2303  0.0223  0.6409 x2  1 H 1.71
F  0.4280  0.3652  0.3385 x2  1 S 1.82

***

Record 2
This record from Alexandria describes crystalline ErHg3I9 at its relaxed geometry. The functional is PBE.

Computed properties:
**Calculated total energy**: -2.07 eV per atom
**Calculated volume**: 48.32 A^3/atom
**Formation energy (no corrections)**: -572 meV/atom
**Total moment**: 0.00 μB per cell

Cell: 20.5102 10.6274 14.7927 Å, 90.00 128.81 90.00°
With the nearest neighbours (Å) after each atom.
Space group Cc (No. 9)
Inequivalent atoms, fractional coordinates:
Er  0.0000  0.2312  0.0000 x4  6 I 2.99-3.12
Hg  0.1363  0.4313  0.8362 x4  4 I 2.83-2.96
Hg  0.2669  0.0663  0.7769 x4  4 I 2.82-2.98
Hg  0.3746  0.3857  0.6847 x4  4 I 2.85-2.90
I  0.9997  0.3011  0.7983 x4  1 Hg 2.85, 1 Er 3.07
I  0.0102  0.0751  0.1799 x4  1 Hg 2.86, 1 Er 3.03
I  0.1030  0.4597  0.1271 x4  1 Hg 2.96, 1 Er 2.99
I  0.1409  0.0473  0.0613 x4  1 Hg 2.82, 1 Er 3.12
I  0.2017  0.3529  0.4802 x4  2 Hg 2.83-2.90
I  0.2620  0.2400  0.9199 x4  2 Hg 2.86-2.88
I  0.3560  0.4255  0.3048 x4  1 Hg 2.86, 1 Er 3.02
I  0.3566  0.1303  0.4602 x4  1 Hg 2.98, 1 Er 3.00
I  0.4087  0.1480  0.7959 x4  2 Hg 2.85-2.88

***

Record 3
This record from Alexandria describes crystalline TaRu2W at its relaxed geometry. The functional is PBE.

Computed properties:
**Calculated total energy**: -10.78 eV per atom
**Calculated volume**: 15.62 A^3/atom
**DOS(E_F)**: 4.6 states/eV/f.u.
**ΔH_f (0 K)**: 0.061 eV/atom
**Offset from the most stable computed form**: 0.555 eV per formula unit
**Total moment**: 0.00 μB per cell

Cell: 9.1421 2.8307 4.9118 Å, 90.00 100.64 90.00°
With the nearest neighbours (Å) after each atom.
Space group C2/m (No. 12)
Inequivalent atoms, fractional coordinates:
Ta  0.0000  0.0000  0.0000 x2  6 Ru 2.80-2.81, 2 Ta 2.83, 4 W 2.83
Ru  0.2468  0.0000  0.7379 x4  3 W 2.74-2.78, 6 Ru 2.74-2.93, 3 Ta 2.80-2.81
W  0.0000  0.5000  0.5000 x2  6 Ru 2.74-2.78, 2 W 2.83, 4 Ta 2.83

***

Record 4
This record from Alexandria describes crystalline LaTbPr5Er2 at its relaxed geometry. The functional is PBE.

Computed properties:
**Calculated total energy**: -4.58 eV per atom
**Calculated volume**: 35.20 A^3/atom
**DOS(E_F)**: 14.2 states/eV/f.u.
**ΔH_f (0 K)**: 0.147 eV/atom
**Total moment**: 0.00 μB per cell

Cell: 5.7561 20.5096 10.7327 Å, 90.00 90.00 90.00°
With the nearest neighbours (Å) after each atom.
Space group Cmc2_1 (No. 36)
Inequivalent atoms, fractional coordinates:
La  0.0000  0.0850  0.0000 x4  5 Pr 3.12-3.39
Tb  0.0000  0.3017  0.5607 x4  2 Er 3.44-3.71, 8 Pr 3.56-3.84, 2 La 3.76
Pr  0.0000  0.0209  0.2909 x4  2 La 3.12-3.39
Pr  0.0000  0.1147  0.5741 x4  6 Pr 3.60-3.94, 4 Er 3.63-3.66, 1 Tb 3.84
Pr  0.0000  0.2047  0.2548 x4  3 Pr 3.47-3.79, 3 Tb 3.56-3.84, 3 Er 3.61-3.75, 1 La 3.67
Pr  0.0000  0.2198  0.8635 x4  1 La 3.13, 1 Er 3.36, 2 Pr 3.47
Pr  0.0000  0.4836  0.5725 x4  2 La 3.30, 3 Er 3.49-3.67
Er  0.0000  0.3838  0.8684 x4  8 Pr 3.36-3.63, 1 Tb 3.71
Er  0.0000  0.3867  0.2846 x4  1 Tb 3.44, 7 Pr 3.50-3.75, 2 La 3.74